The following is a PBE calculation of a relaxed LiSc5S8 crystal, from Alexandria.

Properties
- magnetic moment (Bohr magnetons per cell) = 0.000
- raw formation energy (eV/f.u.) = -25.644
- space group = F-43m (216)
- final energy (eV/cell) = -92.23

abc: 7.5702 7.5702 7.5702
angles: 60.00 60.00 60.00
With the nearest neighbours (Å) after each atom.
Atoms (fractional coordinates):
S (0.3824, 0.3824, 0.3824)  1 Li 2.46, 3 Sc 2.54
S (0.8528, 0.3824, 0.3824)  1 Li 2.46, 3 Sc 2.54
S (0.3824, 0.3824, 0.8528)  1 Li 2.46, 3 Sc 2.54
S (0.8671, 0.8671, 0.8671)  4 Sc 2.47-2.66
S (0.3824, 0.8528, 0.3824)  1 Li 2.46, 3 Sc 2.54
S (0.3988, 0.8671, 0.8671)  4 Sc 2.47-2.66
S (0.8671, 0.3988, 0.8671)  4 Sc 2.47-2.66
S (0.8671, 0.8671, 0.3988)  4 Sc 2.47-2.66
Sc (0.1413, 0.6196, 0.6196)  6 S 2.54-2.66
Sc (0.6196, 0.1413, 0.6196)  6 S 2.54-2.66
Sc (0.6196, 0.6196, 0.6196)  6 S 2.54-2.66
Sc (0.0000, 0.0000, 0.0000)  4 S 2.47
Sc (0.6196, 0.6196, 0.1413)  6 S 2.54-2.66
Li (0.2500, 0.2500, 0.2500)  4 S 2.46